No. 1
# SrW4Cl

Crystalline SrW4Cl at its relaxed geometry (PBE, Alexandria).

* Fermi-level density of states: 1.038 states/eV per atom
* formation energy from raw total energies: 1.168 eV per atom
* volume: 122.9 Å³/cell
* symmetry: F-43m, No. 216
* total magnetic moment: 0.0 μB per formula unit

Cell: 5.580 5.580 5.580 Å, 60.00 60.00 60.00°
Element x y z (fractional)
Sr1 0.000 0.000 0.000
W1 0.140 0.620 0.620
W2 0.620 0.140 0.620
W3 0.620 0.620 0.140
W4 0.620 0.620 0.620
Cl1 0.250 0.250 0.250


No. 2
# LiSi2As

Crystalline LiSi2As at its relaxed geometry (PBE, Alexandria).

* Fermi-level density of states: 0.504 states/eV per atom
* formation energy from raw total energies: 0.156 eV per atom
* volume: 64.6 Å³/cell
* symmetry: P4mm, No. 99
* total magnetic moment: 0.0 μB per formula unit

Cell: 2.721 2.721 8.731 Å, 90.00 90.00 90.00°
Element x y z (fractional)
Li1 0.000 0.000 0.000
Si1 0.000 0.000 0.457
Si2 0.500 0.500 0.241
As1 0.500 0.500 0.769